Density functional theory data (GGA-PBE) for crystalline Nd2Tl3Cd3 at its relaxed geometry.

abc: 4.8281 4.7496 9.2904
angles: 90.00 90.00 90.00
Sites, in units of the cell vectors:
Nd (0.0000, 0.0000, 0.7494)
Nd (0.0000, 0.0000, 0.2506)
Tl (0.5000, 0.0000, 0.5000)
Tl (0.0000, 0.5000, 0.0000)
Tl (0.0000, 0.5000, 0.5000)
Cd (0.5000, 0.5000, 0.7586)
Cd (0.5000, 0.5000, 0.2414)
Cd (0.5000, 0.0000, 0.0000)

Output
space group = Pmmm
crystal system = orthorhombic
density of states at the Fermi level = 0.538 states/eV per atom
total DFT energy (no corrections) = -21.763 eV for the cell shown
DFT formation energy = -298 meV/atom